Crystalline YCrSnO2 at its relaxed geometry, computed with PBE+U. Values from VASP.

## Properties
Its total energy is -6.36 eV per atom. For the density, the calculation gives 4.3 Mg/m³.

Quantum ESPRESSO input file:
```
&SYSTEM
  ibrav = 0, nat = 5, ntyp = 4
/
ATOMIC_SPECIES
Cr 52.00 Cr.upf
O 16.00 O.upf
Y 88.91 Y.upf
Sn 118.71 Sn.upf
ATOMIC_POSITIONS angstrom
Cr -1.164 -2.759 0.657
O 1.853 -0.556 0.948
O -0.734 0.757 1.878
Y 0.000 0.000 0.000
Sn -0.045 -2.558 3.484
CELL_PARAMETERS angstrom
-1.468 1.514 3.757
-2.328 -5.518 1.314
3.706 -1.112 1.896
```